No. 1
Here is a PBEsol-optimized structure of CaTm2O4 from Alexandria. Energies are from meta-GGA SCAN.

Calculated values
- magnetic moment (μB per atom) = 0.000
- energy relative to the elements, uncorrected (meV per atom) = -3758
- symmetry = Fd-3m

Unit cell a=6.657 b=6.657 c=6.657 alpha=60.00 beta=60.00 gamma=60.00
Fractional positions:
Ca  0.750  0.750  0.750
Ca  0.500  0.500  0.500
Tm  0.125  0.125  0.625
Tm  0.125  0.125  0.125
Tm  0.625  0.125  0.125
Tm  0.125  0.625  0.125
O  0.333  0.889  0.889
O  0.361  0.917  0.361
O  0.889  0.889  0.889
O  0.889  0.889  0.333
O  0.917  0.361  0.361
O  0.889  0.333  0.889
O  0.361  0.361  0.361
O  0.361  0.361  0.917

---

No. 2
Here is a PBEsol-optimized structure of CaTm2O4 from Alexandria. Energies are from meta-GGA SCAN.

Calculated values
- magnetic moment (μB per atom) = 0.000
- energy relative to the elements, uncorrected (meV per atom) = -3767
- symmetry = Pnma

Unit cell a=3.297 b=9.601 c=11.511 alpha=90.00 beta=90.00 gamma=90.00
Fractional positions:
Ca  0.250  0.252  0.851
Ca  0.750  0.248  0.351
Ca  0.250  0.752  0.649
Ca  0.750  0.748  0.149
Tm  0.250  0.427  0.112
Tm  0.250  0.416  0.611
Tm  0.750  0.084  0.111
Tm  0.750  0.073  0.612
Tm  0.250  0.927  0.388
Tm  0.250  0.916  0.889
Tm  0.750  0.584  0.389
Tm  0.750  0.573  0.888
O  0.750  0.498  0.214
O  0.250  0.426  0.418
O  0.750  0.365  0.982
O  0.750  0.284  0.684
O  0.250  0.216  0.184
O  0.250  0.135  0.482
O  0.750  0.074  0.918
O  0.250  0.002  0.714
O  0.750  0.998  0.286
O  0.250  0.926  0.082
O  0.750  0.865  0.518
O  0.750  0.784  0.816
O  0.250  0.716  0.316
O  0.250  0.635  0.018
O  0.750  0.574  0.582
O  0.250  0.502  0.786

---

No. 3
Here is a PBEsol-optimized structure of Ca3UO6 from Alexandria. Energies are from meta-GGA SCAN.

Calculated values
- magnetic moment (μB per atom) = 0.000
- energy relative to the elements, uncorrected (meV per atom) = -3438
- symmetry = R-3

Unit cell a=6.700 b=6.700 c=6.700 alpha=91.24 beta=91.24 gamma=91.24
Fractional positions:
Ca  0.444  0.750  0.940
Ca  0.940  0.444  0.750
Ca  0.250  0.060  0.556
Ca  0.060  0.556  0.250
Ca  0.556  0.250  0.060
Ca  0.750  0.940  0.444
U  0.000  0.000  0.000
U  0.500  0.500  0.500
O  0.064  0.924  0.294
O  0.924  0.294  0.064
O  0.294  0.064  0.924
O  0.936  0.076  0.706
O  0.076  0.706  0.936
O  0.706  0.936  0.076
O  0.412  0.541  0.205
O  0.541  0.205  0.412
O  0.795  0.588  0.459
O  0.459  0.795  0.588
O  0.588  0.459  0.795
O  0.205  0.412  0.541

---

What is the energy relative to the elements, uncorrected in the second record?
-3767 meV per atom

---

Which formula does entry 2 have?
CaTm2O4